Material: PuTePd
Method: DFT, PBE
State: relaxed

Values from the calculation:
As for the space group: P6_3/mmc, No. 194. The value obtained for the formation energy without anion corrections is -759 meV per atom. As for the theoretical density: 11.2 g cm⁻³.

Cell and atoms, written as POSCAR:
```
PuTePd
1.0
4.6537 0.0000 0.0000
-2.3269 4.0303 0.0000
0.0000 0.0000 7.5819
Pu Te Pd
2 2 2
Direct
0.0000 0.0000 0.0000
0.0000 0.0000 0.5000
0.3333 0.6667 0.2500
0.6667 0.3333 0.7500
0.3333 0.6667 0.7500
0.6667 0.3333 0.2500
```



Material: PuThPd
Method: DFT, PBE
State: relaxed

Values from the calculation:
As for the space group: Cmcm, No. 63. The value obtained for the energy of formation from the pure elements is -0.144 eV per atom. The polymorph energy (0 for the lowest one) is 157 meV/atom. As for the theoretical density: 14.5 g cm⁻³.

Cell and atoms, written as POSCAR:
```
PuThPd
1.0
2.5085 -7.6164 0.0000
2.5085 7.6164 0.0000
0.0000 0.0000 3.5004
Pu Th Pd
2 2 2
Direct
0.0491 0.9509 0.7500
0.9509 0.0491 0.2500
0.3853 0.6147 0.7500
0.6147 0.3853 0.2500
0.2247 0.7753 0.2500
0.7753 0.2247 0.7500
```



Material: PuTh3Pd12
Method: DFT, PBE
State: relaxed

Values from the calculation:
As for the space group: P4/mmm, No. 123. The value obtained for the energy of formation from the pure elements is -0.854 eV per atom. As for the theoretical density: 12.4 g cm⁻³.

Cell and atoms, written as POSCAR:
```
PuTh3Pd12
1.0
4.2038 0.0000 0.0000
0.0000 4.2038 0.0000
0.0000 0.0000 16.8488
Pu Th Pd
1 3 12
Direct
0.0000 0.0000 0.0000
0.0000 0.0000 0.2462
0.0000 0.0000 0.5000
0.0000 0.0000 0.7538
0.0000 0.5000 0.1262
0.0000 0.5000 0.3751
0.0000 0.5000 0.6249
0.0000 0.5000 0.8738
0.5000 0.0000 0.1262
0.5000 0.0000 0.3751
0.5000 0.0000 0.6249
0.5000 0.0000 0.8738
0.5000 0.5000 0.0000
0.5000 0.5000 0.2514
0.5000 0.5000 0.5000
0.5000 0.5000 0.7486
```



Material: Pu2Th2Pd15
Method: DFT, PBE
State: relaxed

Values from the calculation:
As for the space group: R-3m, No. 166. The value obtained for the energy of formation from the pure elements is -0.460 eV per atom. As for the theoretical density: 11.9 g cm⁻³.

Cell and atoms, written as POSCAR:
```
Pu2Th2Pd15
1.0
4.6730 2.6979 4.7204
-4.6730 2.6979 4.7204
0.0000 -5.3959 4.7204
Pu Th Pd
2 2 15
Direct
0.1328 0.1328 0.1328
0.8672 0.8672 0.8672
0.3851 0.3851 0.3851
0.6149 0.6149 0.6149
0.0000 0.5000 0.5000
0.1513 0.1513 0.6628
0.1513 0.6628 0.1513
0.1901 0.5000 0.8099
0.1901 0.8099 0.5000
0.3372 0.8487 0.8487
0.5000 0.0000 0.5000
0.5000 0.1901 0.8099
0.5000 0.5000 0.0000
0.5000 0.8099 0.1901
0.6628 0.1513 0.1513
0.8099 0.1901 0.5000
0.8099 0.5000 0.1901
0.8487 0.3372 0.8487
0.8487 0.8487 0.3372
```



Material: Pu3ThPd12
Method: DFT, PBE
State: relaxed

Values from the calculation:
As for the space group: P4/mmm, No. 123. The value obtained for the energy of formation from the pure elements is -0.661 eV per atom. As for the theoretical density: 12.8 g cm⁻³.

Cell and atoms, written as POSCAR:
```
Pu3ThPd12
1.0
4.1670 0.0000 0.0000
0.0000 4.1670 0.0000
0.0000 0.0000 16.7012
Pu Th Pd
3 1 12
Direct
0.0000 0.0000 0.0000
0.0000 0.0000 0.2472
0.0000 0.0000 0.7528
0.0000 0.0000 0.5000
0.0000 0.5000 0.1241
0.0000 0.5000 0.3748
0.0000 0.5000 0.6252
0.0000 0.5000 0.8759
0.5000 0.0000 0.1241
0.5000 0.0000 0.3748
0.5000 0.0000 0.6252
0.5000 0.0000 0.8759
0.5000 0.5000 0.0000
0.5000 0.5000 0.2500
0.5000 0.5000 0.5000
0.5000 0.5000 0.7500
```



Material: PuThPd4
Method: DFT, PBE
State: relaxed

Values from the calculation:
As for the space group: F-43m, No. 216. The value obtained for the energy of formation from the pure elements is -0.666 eV per atom. The polymorph energy (0 for the lowest one) is 6 meV/atom. As for the theoretical density: 12.8 g cm⁻³.

Cell and atoms, written as POSCAR:
```
PuThPd4
1.0
0.0000 3.8838 3.8838
3.8838 0.0000 3.8838
3.8838 3.8838 0.0000
Pu Th Pd
1 1 4
Direct
0.0000 0.0000 0.0000
0.7500 0.7500 0.7500
0.3747 0.3747 0.3747
0.3747 0.3747 0.8758
0.3747 0.8758 0.3747
0.8758 0.3747 0.3747
```



Material: Pu2ThPd
Method: DFT, PBE
State: relaxed

Values from the calculation:
As for the space group: P4/mmm, No. 123. The value obtained for the energy of formation from the pure elements is -0.127 eV per atom. The polymorph energy (0 for the lowest one) is 0 meV/atom. As for the theoretical density: 13.8 g cm⁻³.

Cell and atoms, written as POSCAR:
```
Pu2ThPd
1.0
3.6355 0.0000 0.0000
0.0000 3.6355 0.0000
0.0000 0.0000 7.5412
Pu Th Pd
2 1 1
Direct
0.0000 0.0000 0.2109
0.0000 0.0000 0.7891
0.5000 0.5000 0.5000
0.5000 0.5000 0.0000
```



Material: PuThPd
Method: DFT, PBE
State: relaxed

Values from the calculation:
As for the space group: I4mm, No. 107. The value obtained for the energy of formation from the pure elements is -0.301 eV per atom. The polymorph energy (0 for the lowest one) is 0 meV/atom. As for the theoretical density: 13.4 g cm⁻³.

Cell and atoms, written as POSCAR:
```
PuThPd
1.0
-1.8432 1.8432 5.3201
1.8432 -1.8432 5.3201
1.8432 1.8432 -5.3201
Pu Th Pd
1 1 1
Direct
0.0000 0.0000 0.0000
0.3128 0.3128 0.0000
0.6619 0.6619 0.0000
```



Material: PuTh2Pd7
Method: DFT, PBE
State: relaxed

Values from the calculation:
As for the space group: Cmmm, No. 65. The value obtained for the energy of formation from the pure elements is -0.291 eV per atom. As for the theoretical density: 10.1 g cm⁻³.

Cell and atoms, written as POSCAR:
```
PuTh2Pd7
1.0
3.6384 -7.6639 0.0000
3.6384 7.6639 0.0000
0.0000 0.0000 4.2815
Pu Th Pd
1 2 7
Direct
0.0000 0.0000 0.0000
0.3096 0.6904 0.5000
0.6904 0.3096 0.5000
0.0858 0.2839 0.5000
0.1904 0.8096 0.0000
0.2839 0.0858 0.5000
0.5000 0.5000 0.5000
0.7161 0.9142 0.5000
0.8096 0.1904 0.0000
0.9142 0.7161 0.5000
```



Material: PuThPd4
Method: DFT, PBE
State: relaxed

Values from the calculation:
As for the space group: P2_1/m, No. 11. The value obtained for the energy of formation from the pure elements is -0.672 eV per atom. The polymorph energy (0 for the lowest one) is 0 meV/atom. As for the theoretical density: 12.5 g cm⁻³.

Cell and atoms, written as POSCAR:
```
PuThPd4
1.0
5.3191 0.0000 0.0000
0.0000 5.8201 0.0000
-1.8588 0.0000 7.7573
Pu Th Pd
2 2 8
Direct
0.0222 0.2500 0.0425
0.9778 0.7500 0.9575
0.4069 0.2500 0.6634
0.5931 0.7500 0.3366
0.1106 0.5054 0.3562
0.1106 0.9946 0.3562
0.3883 0.7500 0.6796
0.5000 0.0000 0.0000
0.5000 0.5000 0.0000
0.6117 0.2500 0.3204
0.8894 0.0054 0.6438
0.8894 0.4946 0.6438
```



Material: PuThPd3
Method: DFT, PBE
State: relaxed

Values from the calculation:
As for the space group: Pmmn, No. 59. The value obtained for the energy of formation from the pure elements is -0.616 eV per atom. The polymorph energy (0 for the lowest one) is 0 meV/atom. As for the theoretical density: 11.7 g cm⁻³.

Cell and atoms, written as POSCAR:
```
PuThPd3
1.0
4.2122 0.0000 0.0000
0.0000 5.7898 0.0000
0.0000 0.0000 9.2690
Pu Th Pd
2 2 6
Direct
0.2500 0.2500 0.0463
0.7500 0.7500 0.9537
0.2500 0.7500 0.3943
0.7500 0.2500 0.6057
0.2500 0.2500 0.3721
0.2500 0.5060 0.7696
0.2500 0.9940 0.7696
0.7500 0.0060 0.2304
0.7500 0.4940 0.2304
0.7500 0.7500 0.6279
```



Material: PuThPd6
Method: DFT, PBE
State: relaxed

Values from the calculation:
As for the space group: P4/mmm, No. 123. The value obtained for the energy of formation from the pure elements is -0.773 eV per atom. As for the theoretical density: 12.6 g cm⁻³.

Cell and atoms, written as POSCAR:
```
PuThPd6
1.0
4.1868 0.0000 0.0000
0.0000 4.1868 0.0000
0.0000 0.0000 8.3790
Pu Th Pd
1 1 6
Direct
0.0000 0.0000 0.0000
0.0000 0.0000 0.5000
0.0000 0.5000 0.2515
0.0000 0.5000 0.7485
0.5000 0.0000 0.2515
0.5000 0.0000 0.7485
0.5000 0.5000 0.0000
0.5000 0.5000 0.5000
```



Asked for electronic total energy across the records above, the calculation gives -8.315 -9.125 -7.035 -6.849 -7.707 -7.753 -10.446 -9.283 -6.843 -7.759 -8.082 -7.387 eV/atom in order.